Record 1
Material: ZrRh2
Method: DFT, PBE
State: relaxed

Total moment   0.00 μB/f.u.
Theoretical density   9.1 g/cm³
E   -8.2346 eV/atom
Symmetry   I4/mcm

Lattice parameters (Å, degrees): 5.427 5.427 5.427 122.47 122.47 85.78
Atoms (fractional coordinates):
Zr1 0.750 0.750 0.000
Zr2 0.250 0.250 0.000
Rh1 0.321 0.821 0.141
Rh2 0.179 0.321 0.500
Rh3 0.679 0.179 0.859
Rh4 0.821 0.679 0.500

Record 2
Material: Li2NdDyAu4
Method: DFT, PBE
State: relaxed

Total moment   0.00 μB/f.u.
Theoretical density   10.9 g/cm³
E   -3.9737 eV/atom
Symmetry   R-3m

Lattice parameters (Å, degrees): 4.997 4.997 8.336 72.56 72.56 60.00
Atoms (fractional coordinates):
Au1 0.868 0.868 0.396
Au2 0.626 0.626 0.121
Au3 0.132 0.132 0.604
Au4 0.374 0.374 0.879
Li1 0.750 0.750 0.750
Li2 0.250 0.250 0.250
Dy1 0.500 0.500 0.500
Nd1 0.000 0.000 0.000